--- a ---
# KTaRe2 | the Alexandria database | PBE | optimized geometry
data_KTaRe2
_symmetry_space_group_name_H-M 'R 3 m'
_symmetry_Int_Tables_number 160
_symmetry_space_group_name_Hall 'R 3 -2"'
_cell_length_a 2.8515
_cell_length_b 2.8515
_cell_length_c 32.6908
_cell_angle_alpha 90.00
_cell_angle_beta 90.00
_cell_angle_gamma 120.00
loop_
_atom_site_label
_atom_site_type_symbol
_atom_site_fract_x
_atom_site_fract_y
_atom_site_fract_z
K1 K 0.0000 0.0000 0.0000
Ta1 Ta 0.0000 0.0000 0.2321
Re1 Re 0.0000 0.0000 0.4906
Re2 Re 0.0000 0.0000 0.7604
# Theoretical density = 12821 kg/m³
# Size of the total moment = 0.00 μB per cell


--- b ---
# KTaRe2 | the Alexandria database | PBE | optimized geometry
data_KTaRe2
_symmetry_space_group_name_H-M 'C 1 m 1'
_symmetry_Int_Tables_number 8
_symmetry_space_group_name_Hall 'C -2y'
_cell_length_a 9.2827
_cell_length_b 3.0550
_cell_length_c 7.2154
_cell_angle_alpha 90.00
_cell_angle_beta 96.19
_cell_angle_gamma 90.00
loop_
_atom_site_label
_atom_site_type_symbol
_atom_site_fract_x
_atom_site_fract_y
_atom_site_fract_z
K1 K 0.0000 0.0000 0.0000
Ta1 Ta 0.2164 0.0000 0.6192
Re1 Re 0.2695 0.5000 0.3661
Re2 Re 0.4914 0.0000 0.4652
# Theoretical density = 9673 kg/m³
# Size of the total moment = 0.01 μB per cell


--- c ---
# KTaRe2 | the Alexandria database | PBE | optimized geometry
data_KTaRe2
_symmetry_space_group_name_H-M 'P 4/m m m'
_symmetry_Int_Tables_number 123
_symmetry_space_group_name_Hall '-P 4 2'
_cell_length_a 2.7006
_cell_length_b 2.7006
_cell_length_c 10.5331
_cell_angle_alpha 90.00
_cell_angle_beta 90.00
_cell_angle_gamma 90.00
loop_
_atom_site_label
_atom_site_type_symbol
_atom_site_fract_x
_atom_site_fract_y
_atom_site_fract_z
K1 K 0.0000 0.0000 0.0000
Ta1 Ta 0.0000 0.0000 0.5000
Re1 Re 0.5000 0.5000 0.2861
# Theoretical density = 12807 kg/m³
# Size of the total moment = 0.00 μB per cell


a is preferred energetically. Next in line: 184 meV/atom higher.


--- a ---
# KTaRe2 | the Alexandria database | PBE | optimized geometry
data_KTaRe2
_symmetry_space_group_name_H-M 'P 1 2/m 1'
_symmetry_Int_Tables_number 10
_symmetry_space_group_name_Hall '-P 2y'
_cell_length_a 2.7733
_cell_length_b 4.4525
_cell_length_c 7.5965
_cell_angle_alpha 90.00
_cell_angle_beta 95.26
_cell_angle_gamma 90.00
loop_
_atom_site_label
_atom_site_type_symbol
_atom_site_fract_x
_atom_site_fract_y
_atom_site_fract_z
K1 K 0.0000 0.0000 0.0000
Ta1 Ta 0.5000 0.0000 0.5000
Re1 Re 0.1644 0.5000 0.6502
# Theoretical density = 10532 kg/m³
# Size of the total moment = 0.00 μB per cell


--- b ---
# KTaRe2 | the Alexandria database | PBE | optimized geometry
data_KTaRe2
_symmetry_space_group_name_H-M 'P m m 2'
_symmetry_Int_Tables_number 25
_symmetry_space_group_name_Hall 'P 2 -2'
_cell_length_a 2.8709
_cell_length_b 3.9580
_cell_length_c 8.2819
_cell_angle_alpha 90.00
_cell_angle_beta 90.00
_cell_angle_gamma 90.00
loop_
_atom_site_label
_atom_site_type_symbol
_atom_site_fract_x
_atom_site_fract_y
_atom_site_fract_z
K1 K 0.0000 0.0000 0.0000
Ta1 Ta 0.5000 0.5000 0.6321
Re1 Re 0.0000 0.0000 0.4611
Re2 Re 0.5000 0.5000 0.3351
# Theoretical density = 10454 kg/m³
# Size of the total moment = 0.00 μB per cell


--- c ---
# KTaRe2 | the Alexandria database | PBE | optimized geometry
data_KTaRe2
_symmetry_space_group_name_H-M 'P m m m'
_symmetry_Int_Tables_number 47
_symmetry_space_group_name_Hall '-P 2 2'
_cell_length_a 2.8044
_cell_length_b 4.3940
_cell_length_c 7.7135
_cell_angle_alpha 90.00
_cell_angle_beta 90.00
_cell_angle_gamma 90.00
loop_
_atom_site_label
_atom_site_type_symbol
_atom_site_fract_x
_atom_site_fract_y
_atom_site_fract_z
K1 K 0.0000 0.0000 0.0000
Ta1 Ta 0.0000 0.0000 0.5000
Re1 Re 0.5000 0.5000 0.3514
# Theoretical density = 10351 kg/m³
# Size of the total moment = 0.00 μB per cell


--- d ---
# KTaRe2 | the Alexandria database | PBE | optimized geometry
data_KTaRe2
_symmetry_space_group_name_H-M 'I m m 2'
_symmetry_Int_Tables_number 44
_symmetry_space_group_name_Hall 'I 2 -2'
_cell_length_a 2.7071
_cell_length_b 5.5022
_cell_length_c 10.9593
_cell_angle_alpha 90.00
_cell_angle_beta 90.00
_cell_angle_gamma 90.00
loop_
_atom_site_label
_atom_site_type_symbol
_atom_site_fract_x
_atom_site_fract_y
_atom_site_fract_z
K1 K 0.0000 0.0000 0.0000
Ta1 Ta 0.0000 0.5000 0.2018
Re1 Re 0.0000 0.0000 0.4864
Re2 Re 0.0000 0.5000 0.7849
# Theoretical density = 12054 kg/m³
# Size of the total moment = 0.00 μB per cell


b is preferred energetically. Next in line: 81 meV/atom higher.


--- a ---
# KTaRe2 | the Alexandria database | PBE | optimized geometry
data_KTaRe2
_symmetry_space_group_name_H-M 'C 1 2/m 1'
_symmetry_Int_Tables_number 12
_symmetry_space_group_name_Hall '-C 2y'
_cell_length_a 9.2593
_cell_length_b 2.7323
_cell_length_c 7.3347
_cell_angle_alpha 90.00
_cell_angle_beta 91.19
_cell_angle_gamma 90.00
loop_
_atom_site_label
_atom_site_type_symbol
_atom_site_fract_x
_atom_site_fract_y
_atom_site_fract_z
K1 K 0.0000 0.0000 0.0000
Ta1 Ta 0.0000 0.5000 0.5000
Re1 Re 0.2417 0.0000 0.6530
# Theoretical density = 10606 kg/m³
# Size of the total moment = 0.00 μB per cell


--- b ---
# KTaRe2 | the Alexandria database | PBE | optimized geometry
data_KTaRe2
_symmetry_space_group_name_H-M 'P 1 m 1'
_symmetry_Int_Tables_number 6
_symmetry_space_group_name_Hall 'P -2y'
_cell_length_a 2.8618
_cell_length_b 3.9658
_cell_length_c 8.3628
_cell_angle_alpha 90.00
_cell_angle_beta 98.87
_cell_angle_gamma 90.00
loop_
_atom_site_label
_atom_site_type_symbol
_atom_site_fract_x
_atom_site_fract_y
_atom_site_fract_z
K1 K 0.0000 0.0000 0.0000
Ta1 Ta 0.7971 0.5000 0.6336
Re1 Re 0.2099 0.0000 0.4622
Re2 Re 0.6523 0.5000 0.3360
# Theoretical density = 10491 kg/m³
# Size of the total moment = 0.00 μB per cell


--- c ---
# KTaRe2 | the Alexandria database | PBE | optimized geometry
data_KTaRe2
_symmetry_space_group_name_H-M 'C 1 2/m 1'
_symmetry_Int_Tables_number 12
_symmetry_space_group_name_Hall '-C 2y'
_cell_length_a 5.8041
_cell_length_b 9.7072
_cell_length_c 2.6653
_cell_angle_alpha 90.00
_cell_angle_beta 107.12
_cell_angle_gamma 90.00
loop_
_atom_site_label
_atom_site_type_symbol
_atom_site_fract_x
_atom_site_fract_y
_atom_site_fract_z
K1 K 0.0000 0.0000 0.0000
Ta1 Ta 0.0000 0.5000 0.0000
Re1 Re 0.2500 0.2500 0.5000
# Theoretical density = 13710 kg/m³
# Size of the total moment = 0.00 μB per cell


b is preferred energetically. Next in line: 330 meV/atom higher.


--- a ---
# KTaRe2 | the Alexandria database | PBE | optimized geometry
data_KTaRe2
_symmetry_space_group_name_H-M 'C m m m'
_symmetry_Int_Tables_number 65
_symmetry_space_group_name_Hall '-C 2 2'
_cell_length_a 3.1827
_cell_length_b 4.5888
_cell_length_c 10.3320
_cell_angle_alpha 90.00
_cell_angle_beta 90.00
_cell_angle_gamma 90.00
loop_
_atom_site_label
_atom_site_type_symbol
_atom_site_fract_x
_atom_site_fract_y
_atom_site_fract_z
K1 K 0.0000 0.0000 0.0000
Ta1 Ta 0.0000 0.0000 0.5000
Re1 Re 0.0000 0.5000 0.2901
# Theoretical density = 13040 kg/m³
# Size of the total moment = 0.00 μB per cell


--- b ---
# KTaRe2 | the Alexandria database | PBE | optimized geometry
data_KTaRe2
_symmetry_space_group_name_H-M 'C m m 2'
_symmetry_Int_Tables_number 35
_symmetry_space_group_name_Hall 'C 2 -2'
_cell_length_a 3.1151
_cell_length_b 4.6370
_cell_length_c 10.6644
_cell_angle_alpha 90.00
_cell_angle_beta 90.00
_cell_angle_gamma 90.00
loop_
_atom_site_label
_atom_site_type_symbol
_atom_site_fract_x
_atom_site_fract_y
_atom_site_fract_z
K1 K 0.0000 0.0000 0.0000
Ta1 Ta 0.0000 0.5000 0.6860
Re1 Re 0.0000 0.0000 0.4764
Re2 Re 0.0000 0.5000 0.2776
# Theoretical density = 12773 kg/m³
# Size of the total moment = 0.00 μB per cell


a is preferred energetically. Next in line: 130 meV/atom higher.


--- a ---
# KTaRe2 | the Alexandria database | PBE | optimized geometry
data_KTaRe2
_symmetry_space_group_name_H-M 'F -4 3 m'
_symmetry_Int_Tables_number 216
_symmetry_space_group_name_Hall 'F -4 2 3'
_cell_length_a 6.5550
_cell_length_b 6.5550
_cell_length_c 6.5550
_cell_angle_alpha 90.00
_cell_angle_beta 90.00
_cell_angle_gamma 90.00
loop_
_atom_site_label
_atom_site_type_symbol
_atom_site_fract_x
_atom_site_fract_y
_atom_site_fract_z
K1 K 0.0000 0.0000 0.0000
Ta1 Ta 0.2500 0.2500 0.2500
Re1 Re 0.0000 0.0000 0.5000
Re2 Re 0.2500 0.2500 0.7500
# Theoretical density = 13972 kg/m³
# Size of the total moment = 0.00 μB per cell


--- b ---
# KTaRe2 | the Alexandria database | PBE | optimized geometry
data_KTaRe2
_symmetry_space_group_name_H-M 'R -3 m'
_symmetry_Int_Tables_number 166
_symmetry_space_group_name_Hall '-R 3 2"'
_cell_length_a 2.7965
_cell_length_b 2.7965
_cell_length_c 32.9717
_cell_angle_alpha 90.00
_cell_angle_beta 90.00
_cell_angle_gamma 120.00
loop_
_atom_site_label
_atom_site_type_symbol
_atom_site_fract_x
_atom_site_fract_y
_atom_site_fract_z
K1 K 0.0000 0.0000 0.0000
Ta1 Ta 0.0000 0.0000 0.5000
Re1 Re 0.0000 0.0000 0.2413
# Theoretical density = 13217 kg/m³
# Size of the total moment = 0.00 μB per cell


b is preferred energetically. Next in line: 582 meV/atom higher.